## Be2PAu (PBE-GGA)

Data for a geometry-optimized Be2PAu structure.

```
Be2PAu
1.0
-2.8906 -1.4654 -0.9244
1.6590 -3.1788 -0.1486
-0.7576 -1.2951 4.4221
P Au Be
1 1 2
Direct
0.5000 0.2500 0.2500
0.5000 0.7500 0.7500
0.0000 0.2844 0.5125
0.0000 0.2156 0.9875
```

## Properties
ρ = 7.3 g cm⁻³
N(E_F) = 0.89 states/eV/f.u.
E = -15.55 eV for the cell shown
Calculated formation energy = 0.6 eV per formula unit
Total magnetization = 0.000 μB/cell